Computed, not measured: Sr3VSi2O8 after structural relaxation at the PBE with a Hubbard U level of DFT.

a b c (Å): 5.550 5.550 7.054
angles (deg): 90.00 90.00 120.00
Site moments in Bohr magnetons follow the coordinates.
Fractional positions:
1 O 0.667 0.333 0.011  0.00
2 O 0.651 0.826 0.308  0.01
3 O 0.174 0.826 0.308  0.01
4 O 0.826 0.651 0.692  0.01
5 O 0.333 0.667 0.989  0.00
6 O 0.826 0.174 0.692  0.01
7 O 0.349 0.174 0.692  0.01
8 O 0.174 0.349 0.308  0.01
9 Sr 0.333 0.667 0.660  0.01
10 Sr 0.000 0.000 0.000  0.00
11 Sr 0.667 0.333 0.340  0.01
12 Si 0.333 0.667 0.217  0.00
13 Si 0.667 0.333 0.783  0.00
14 V 0.000 0.000 0.500  2.67

- E_tot (eV per atom) = -7.32
- M_tot (μB/f.u.) = 3.0
- space-group type = No. 164